[1]
Entry from the Alexandria database: a geometry-optimized AcTbAs2Pd5 structure (PBE-GGA).

a b c (Å): 4.3703 4.3703 9.2785
angles (deg): 90.00 90.00 90.00
With the nearest neighbours (Å) after each atom.
Atoms (fractional coordinates):
Ac 0.0000 0.0000 0.0000  12 Pd 3.09-3.10
Tb 0.0000 0.0000 0.5000  8 Pd 3.27, 8 As 3.34
As 0.5000 0.5000 0.3642  4 Pd 2.48, 1 As 2.52
As 0.5000 0.5000 0.6358  4 Pd 2.48, 1 As 2.52
Pd 0.0000 0.5000 0.2371  2 As 2.48
Pd 0.0000 0.5000 0.7629  2 As 2.48
Pd 0.5000 0.0000 0.2371  2 As 2.48
Pd 0.5000 0.0000 0.7629  2 As 2.48
Pd 0.5000 0.5000 0.0000  4 Ac 3.09, 8 Pd 3.10, 2 As 3.38

E_form in meV/atom: -774
Space-group type: P4/mmm (123)

---

[2]
Entry from the Alexandria database: a geometry-optimized AcTe2As2Pd7 structure (PBE-GGA).

a b c (Å): 4.6857 4.6857 11.8826
angles (deg): 93.85 93.85 98.93
With the nearest neighbours (Å) after each atom.
Atoms (fractional coordinates):
Ac 0.0000 0.0000 0.0000  2 Pd 3.05, 2 As 3.17
Te 0.1579 0.1579 0.3877  4 Pd 2.64-2.92
Te 0.8421 0.8421 0.6123  4 Pd 2.64-2.92
As 0.3234 0.3234 0.8075  6 Pd 2.43-2.56
As 0.6766 0.6766 0.1925  6 Pd 2.43-2.56
Pd 0.1572 0.5564 0.2365  2 As 2.44-2.51, 1 Te 2.68
Pd 0.3606 0.3606 0.5949  1 As 2.56, 1 Te 2.64
Pd 0.4436 0.8428 0.7635  2 As 2.44-2.51, 1 Te 2.68
Pd 0.5000 0.5000 0.0000  2 As 2.43
Pd 0.5564 0.1572 0.2365  2 As 2.44-2.51, 1 Te 2.68
Pd 0.6394 0.6394 0.4051  1 As 2.56, 1 Te 2.64
Pd 0.8428 0.4436 0.7635  2 As 2.44-2.51, 1 Te 2.68

Uncorrected formation energy in eV/atom: -0.415
Space-group type: C2/m (12)

---

Table of Fermi-level density of states (states/eV per atom), in record order: 0.236; 0.436
Table of electronic total energy (eV per atom), in record order: -5.66; -5.09